# BeRe2RhPb, optimized geometry, DFT PBE-GGA
data_BeRe2RhPb
_symmetry_space_group_name_H-M 'P 1'
_symmetry_Int_Tables_number 1
_cell_length_a 4.798
_cell_length_b 4.153
_cell_length_c 4.798
_cell_angle_alpha 90.00
_cell_angle_beta 90.00
_cell_angle_gamma 90.00
loop_
_symmetry_equiv_pos_as_xyz
'x,y,z'
loop_
_atom_site_label
_atom_site_type_symbol
_atom_site_fract_x
_atom_site_fract_y
_atom_site_fract_z
Re1 Re 0.500 0.000 0.000
Re2 Re 0.000 0.000 0.500
Be1 Be 0.000 0.500 0.000
Pb1 Pb 0.500 0.500 0.500
Rh1 Rh 0.000 0.000 0.000
# SG: P4/mmm
# E_form, eV/atom: 1.4441

# BeRe2SbPb, optimized geometry, DFT PBE-GGA
data_BeRe2SbPb
_symmetry_space_group_name_H-M 'P 1'
_symmetry_Int_Tables_number 1
_cell_length_a 4.513
_cell_length_b 4.426
_cell_length_c 4.513
_cell_angle_alpha 90.00
_cell_angle_beta 90.00
_cell_angle_gamma 90.00
loop_
_symmetry_equiv_pos_as_xyz
'x,y,z'
loop_
_atom_site_label
_atom_site_type_symbol
_atom_site_fract_x
_atom_site_fract_y
_atom_site_fract_z
Re1 Re 0.000 0.000 0.500
Re2 Re 0.500 0.000 0.000
Sb1 Sb 0.500 0.500 0.500
Be1 Be 0.000 0.000 0.000
Pb1 Pb 0.000 0.500 0.000
# SG: P4/mmm
# Final energy, eV per atom: -6.02

# BeReSi2Pb, optimized geometry, DFT PBE-GGA
data_BeReSi2Pb
_symmetry_space_group_name_H-M 'P 1'
_symmetry_Int_Tables_number 1
_cell_length_a 5.194
_cell_length_b 5.239
_cell_length_c 5.194
_cell_angle_alpha 90.00
_cell_angle_beta 90.00
_cell_angle_gamma 90.00
loop_
_symmetry_equiv_pos_as_xyz
'x,y,z'
loop_
_atom_site_label
_atom_site_type_symbol
_atom_site_fract_x
_atom_site_fract_y
_atom_site_fract_z
Si1 Si 0.500 0.000 0.000
Si2 Si 0.000 0.000 0.500
Pb1 Pb 0.000 0.000 0.000
Be1 Be 0.500 0.500 0.500
Re1 Re 0.000 0.500 0.000
# SG: P4/mmm
# Final energy, eV per atom: -3.57